Density functional theory data (GGA-PBE) for crystalline Te2PdN at its relaxed geometry.

The space group is Fm-3m (No. 225) and the conventional cell measures 6.600, 6.600 and 6.600 Å, with angles of 90.00, 90.00 and 90.00 degrees. The inequivalent atoms are Te at (0.250, 0.250, 0.250), Pd at (0.000, 0.000, 0.000) and N at (0.000, 0.000, 0.500).

The uncorrected formation energy comes out at 0.99 eV/atom. Its raw total energy is -3.964 eV per atom. Its energy above the most stable polymorph in this dataset is 563 meV per atom. For the density of states at the Fermi level, the calculation gives 2.7 states/eV/f.u.